The following is a GGA-PBE calculation of a relaxed PrGa4CoPd2 crystal, from the Alexandria database.

Cell: 4.2523 4.2523 9.1897 Å, 76.62 76.62 60.00°
Last column: magnetic moment on the atom in μB.
Positions (direct):
Co 0.5000 0.5000 0.5000  0.41
Pr 0.0000 0.0000 0.0000  -0.01
Ga 0.5960 0.5960 0.2121  0.00
Ga 0.4040 0.4040 0.7879  0.00
Ga 0.8642 0.8642 0.4075  0.00
Ga 0.1358 0.1358 0.5925  0.00
Pd 0.2345 0.2345 0.2966  0.02
Pd 0.7655 0.7655 0.7034  0.02

The value obtained for the total energy is -38.859 eV for the cell shown. As for the space group: R-3m (166). The value obtained for the density of states at the Fermi level is 4.731 states/eV per cell.